# Ba6PbBr5

A relaxed Ba6PbBr5 crystal (GGA-PBE, Alexandria).

Summary:
**Final energy**: -3.434 eV/atom
**Total magnetic moment**: 0.00 μB per formula unit
**Uncorrected formation energy**: -1.4667 eV per atom
**DOS(E_F)**: 5.6 states/eV/f.u.

a = 8.4258 Å, b = 8.3540 Å, c = 8.3619 Å
α = 60.03°, β = 80.46°, γ = 70.63°
Fractional positions:
Ba  0.7511  0.0832  0.3322
Ba  0.2469  0.2507  0.0000
Ba  0.7531  0.7493  0.0000
Ba  0.2489  0.9168  0.6678
Ba  0.2489  0.5847  0.3322
Ba  0.7511  0.4153  0.6678
Br  0.5000  0.1618  0.6764
Br  0.5000  0.8382  0.3236
Br  0.0000  0.6672  0.6655
Br  0.0000  0.3328  0.3345
Br  0.5000  0.5000  0.0000
Pb  0.0000  0.0000  0.0000

***

# BaPb2Br

A relaxed BaPb2Br crystal (GGA-PBE, Alexandria).

Summary:
**E above lowest polymorph**: 0.060 eV per atom
**Final energy**: -3.486 eV/atom
**Total magnetic moment**: 0.00 μB per formula unit
**Uncorrected formation energy**: -0.7333 eV per atom
**DOS(E_F)**: 1.8 states/eV/f.u.

a = 7.5894 Å, b = 7.5894 Å, c = 4.6085 Å
α = 77.80°, β = 77.80°, γ = 34.87°
Fractional positions:
Br  0.2500  0.2500  0.2500
Ba  0.7500  0.7500  0.7500
Pb  0.4977  0.4977  0.5083
Pb  0.0023  0.0023  0.9917

***

# Ba2PbBr6

A relaxed Ba2PbBr6 crystal (GGA-PBE, Alexandria).

Summary:
**E above lowest polymorph**: 0.012 eV per atom
**Final energy**: -3.691 eV/atom
**Total magnetic moment**: 0.00 μB per formula unit
**Uncorrected formation energy**: -1.7360 eV per atom
**DOS(E_F)**: 0.0 states/eV/f.u.

a = 7.3976 Å, b = 7.3976 Å, c = 14.6935 Å
α = 90.00°, β = 90.00°, γ = 90.00°
Fractional positions:
Br  0.2947  0.2947  0.0000
Br  0.3097  0.3097  0.3415
Br  0.8097  0.1903  0.8415
Br  0.6903  0.6903  0.3415
Br  0.2053  0.7947  0.5000
Br  0.7053  0.7053  0.0000
Br  0.7947  0.2053  0.5000
Br  0.6903  0.6903  0.6585
Br  0.8097  0.1903  0.1585
Br  0.1903  0.8097  0.1585
Br  0.3097  0.3097  0.6585
Br  0.1903  0.8097  0.8415
Ba  0.0000  0.0000  0.3333
Ba  0.0000  0.0000  0.6667
Ba  0.5000  0.5000  0.8333
Ba  0.5000  0.5000  0.1667
Pb  0.5000  0.5000  0.5000
Pb  0.0000  0.0000  0.0000

***

# Ba2PbBr

A relaxed Ba2PbBr crystal (GGA-PBE, Alexandria).

Summary:
**E above lowest polymorph**: 0.000 eV per atom
**Final energy**: -3.428 eV/atom
**Total magnetic moment**: 0.00 μB per formula unit
**Uncorrected formation energy**: -1.1214 eV per atom
**DOS(E_F)**: 0.5 states/eV/f.u.

a = 7.0559 Å, b = 7.1057 Å, c = 13.6536 Å
α = 99.06°, β = 90.00°, γ = 90.00°
Fractional positions:
Br  0.2491  0.9627  0.8712
Br  0.7509  0.0373  0.1288
Br  0.7509  0.4627  0.3712
Br  0.2491  0.5373  0.6288
Pb  0.2509  0.9128  0.3511
Pb  0.7491  0.4128  0.8511
Pb  0.7491  0.0872  0.6489
Pb  0.2509  0.5872  0.1489
Ba  0.7492  0.9377  0.8823
Ba  0.2493  0.4822  0.8814
Ba  0.7492  0.5623  0.6177
Ba  0.7507  0.9822  0.3814
Ba  0.2493  0.0178  0.6186
Ba  0.7507  0.5178  0.1186
Ba  0.2508  0.0623  0.1177
Ba  0.2508  0.4377  0.3823

***

# Ba2PbBr

A relaxed Ba2PbBr crystal (GGA-PBE, Alexandria).

Summary:
**E above lowest polymorph**: 0.656 eV per atom
**Final energy**: -2.772 eV/atom
**Total magnetic moment**: 0.00 μB per formula unit
**Uncorrected formation energy**: -0.4657 eV per atom
**DOS(E_F)**: 5.9 states/eV/f.u.

a = 6.0123 Å, b = 6.0123 Å, c = 6.0123 Å
α = 60.00°, β = 60.00°, γ = 60.00°
Fractional positions:
Br  0.5000  0.5000  0.5000
Ba  0.0000  0.0000  0.0000
Ba  0.7500  0.7500  0.7500
Pb  0.2500  0.2500  0.2500

***

# Ba3PbBr3

A relaxed Ba3PbBr3 crystal (GGA-PBE, Alexandria).

Summary:
**Final energy**: -3.475 eV/atom
**Total magnetic moment**: 0.00 μB per formula unit
**Uncorrected formation energy**: -1.4041 eV per atom
**DOS(E_F)**: 1.7 states/eV/f.u.

a = 11.0843 Å, b = 9.8167 Å, c = 9.8167 Å
α = 118.04°, β = 110.94°, γ = 110.94°
Fractional positions:
Pb  0.8125  0.7928  0.7928
Pb  0.1875  0.2072  0.2072
Ba  0.8267  0.1484  0.1484
Ba  0.6786  0.3241  0.6141
Ba  0.3214  0.6759  0.3859
Ba  0.1733  0.8516  0.8516
Ba  0.6786  0.6141  0.3241
Ba  0.3214  0.3859  0.6759
Br  0.5000  0.2125  0.7875
Br  0.0000  0.3651  0.6349
Br  0.0000  0.6349  0.3651
Br  0.5791  0.2185  0.2185
Br  0.4209  0.7815  0.7815
Br  0.5000  0.7875  0.2125